This record from the Alexandria database describes a relaxed SrMnZn2F8 crystal. The functional is GGA+U.

The space group is I-4 (No. 82) and the conventional cell measures 5.362, 5.362 and 11.329 Å, with angles of 90.00, 90.00 and 90.00 degrees. The asymmetric unit holds Sr at (0.000, 0.000, 0.000), Mn at (0.000, 0.500, 0.250), Zn at (0.000, 0.000, 0.500), Zn at (0.000, 0.500, 0.750), F at (0.160, 0.264, 0.409) and F at (0.191, 0.764, 0.829).

For the magnetic moment, the calculation gives 10.00 μB per cell. As for the total energy: -5.00 eV per atom. The calculated volume comes out at 325.7 Å³/cell. The density comes out at 4.3 Mg/m³.